Record 1
Density functional theory data (PBEsol) for a geometry-optimized KLa2Au structure.

Values from the calculation:
Raw total energy   -16.106 eV per cell
Offset from the most stable computed form   0.00 eV per formula unit
Space group   Imm2, No. 44

Structure (POSCAR):
```
KLa2Au
1.0
3.9360 0.0000 0.0000
0.0000 3.9117 0.0000
-1.9680 -1.9559 10.6576
K La Au
1 2 1
Direct
0.1879 0.6879 0.3758
0.0091 0.0091 0.0181
0.8491 0.3491 0.6983
0.4539 0.4539 0.9078
```



Record 2
Density functional theory data (PBEsol) for a geometry-optimized SiP structure.

Values from the calculation:
Raw total energy   -141.689 eV per cell
Formation energy (no corrections)   -0.1347 eV/atom
Space group   Cmc2_1, No. 36

Structure (POSCAR):
```
SiP
1.0
3.5031 0.0000 0.0000
-1.7515 10.2085 0.0000
0.0000 0.0000 13.5419
P Si
12 12
Direct
0.6138 0.2277 0.4333
0.4995 0.9990 0.6360
0.8109 0.6217 0.1338
0.7311 0.4622 0.8811
0.2689 0.5378 0.3811
0.3862 0.7723 0.9333
0.1558 0.3115 0.0836
0.1891 0.3783 0.6338
0.8442 0.6885 0.5836
0.0412 0.0823 0.8833
0.5005 0.0010 0.1360
0.9588 0.9177 0.3833
0.7018 0.4037 0.1641
0.4405 0.8810 0.2795
0.9322 0.8644 0.8528
0.9348 0.8696 0.6799
0.0678 0.1356 0.3528
0.3289 0.6578 0.2377
0.6711 0.3422 0.7377
0.7044 0.4087 0.3369
0.2982 0.5963 0.6641
0.2956 0.5913 0.8369
0.0652 0.1304 0.1799
0.5595 0.1190 0.7795
```



Q: Which of these has the highest raw total energy?
A: KLa2Au



Q: Which formula does entry 2 have?
A: SiP



Q: What is the raw total energy in the second record?
A: -141.689 eV per cell



Q: The lowest raw total energy belongs to which entry?
A: SiP